1.
{"formula": "AlTc2Hg", "functional": "PBE", "state": "optimized geometry", "de_polymorph_mev_per_atom": 357.7, "formation_energy_mev_per_atom": 376, "cell": [[2.680, -4.051, 0.000], [2.680, 4.051, 0.000], [0.000, 0.000, 2.960]], "species": ["Al", "Tc", "Tc", "Hg"], "frac_coords": [[0.000, 0.000, 0.000], [0.000, 0.500, 0.500], [0.500, 0.000, 0.500], [0.500, 0.500, 0.000]]}


2.
{"formula": "EuErAlAu", "functional": "PBE", "state": "optimized geometry", "formation_energy_mev_per_atom": -489, "cell": [[0.000, 3.671, 3.671], [3.671, 0.000, 3.671], [3.671, 3.671, 0.000]], "species": ["Eu", "Er", "Al", "Au"], "frac_coords": [[0.000, 0.000, 0.000], [0.500, 0.500, 0.500], [0.750, 0.750, 0.750], [0.250, 0.250, 0.250]]}


3.
{"formula": "Ce2TmTl2Ag2", "functional": "PBE", "state": "optimized geometry", "formation_energy_mev_per_atom": -111, "cell": [[2.396, 1.383, 8.693], [-2.396, 1.383, 8.693], [0.000, -2.767, 8.693]], "species": ["Ce", "Ce", "Tm", "Tl", "Tl", "Ag", "Ag"], "frac_coords": [[0.143, 0.143, 0.143], [0.857, 0.857, 0.857], [0.000, 0.000, 0.000], [0.273, 0.273, 0.273], [0.727, 0.727, 0.727], [0.424, 0.424, 0.424], [0.576, 0.576, 0.576]]}


4.
{"formula": "Zr2BeZn", "functional": "PBE", "state": "optimized geometry", "de_polymorph_mev_per_atom": 0.0, "formation_energy_mev_per_atom": -176, "cell": [[3.238, 0.000, 0.000], [0.000, 3.238, 0.000], [0.000, 0.000, 6.600]], "species": ["Zr", "Zr", "Be", "Zn"], "frac_coords": [[0.000, 0.000, 0.238], [0.000, 0.000, 0.762], [0.500, 0.500, 0.000], [0.500, 0.500, 0.500]]}


5.
{"formula": "Ce4Dy2Sn3O2", "functional": "PBE", "state": "optimized geometry", "energy_ev_per_cell": -70.1, "cell": [[-2.356, 2.356, 12.849], [2.356, -2.356, 12.849], [2.356, 2.356, -12.849]], "species": ["Ce", "Ce", "Ce", "Ce", "Dy", "Dy", "Sn", "Sn", "Sn", "O", "O"], "frac_coords": [[0.085, 0.585, 0.500], [0.415, 0.915, 0.500], [0.585, 0.085, 0.500], [0.915, 0.415, 0.500], [0.197, 0.197, 0.000], [0.803, 0.803, 0.000], [0.320, 0.320, 0.000], [0.500, 0.500, 0.000], [0.680, 0.680, 0.000], [0.105, 0.105, 0.000], [0.895, 0.895, 0.000]]}


6.
{"formula": "TbSmMgRu", "functional": "PBE", "state": "optimized geometry", "de_polymorph_mev_per_atom": 86.2, "formation_energy_mev_per_atom": -144, "cell": [[0.000, 3.594, 3.594], [3.594, 0.000, 3.594], [3.594, 3.594, 0.000]], "species": ["Tb", "Sm", "Mg", "Ru"], "frac_coords": [[0.000, 0.000, 0.000], [0.500, 0.500, 0.500], [0.750, 0.750, 0.750], [0.250, 0.250, 0.250]]}


7.
{"formula": "Pm2GaNi", "functional": "PBE", "state": "optimized geometry", "formation_energy_mev_per_atom": -422, "cell": [[6.151, 0.000, 0.000], [0.000, 3.874, 0.000], [-3.010, 0.000, 8.023]], "species": ["Pm", "Pm", "Pm", "Pm", "Ga", "Ga", "Ni", "Ni"], "frac_coords": [[0.187, 0.250, 0.402], [0.274, 0.750, 0.052], [0.726, 0.250, 0.948], [0.813, 0.750, 0.598], [0.361, 0.750, 0.708], [0.639, 0.250, 0.292], [0.146, 0.250, 0.788], [0.854, 0.750, 0.212]]}


8.
{"formula": "Li2YCd", "functional": "PBE", "state": "optimized geometry", "de_polymorph_mev_per_atom": 19.1, "formation_energy_mev_per_atom": -87, "cell": [[5.155, -1.706, 0.000], [5.155, 1.706, 0.000], [-1.366, 0.000, 5.225]], "species": ["Li", "Li", "Y", "Cd"], "frac_coords": [[0.233, 0.233, 0.208], [0.767, 0.767, 0.792], [0.000, 0.000, 0.500], [0.500, 0.500, 0.000]]}


Number 1: total magnetic moment 0.00 μB/atom. Number 2: total magnetic moment 1.71 μB/atom. Number 3: total magnetic moment 0.19 μB/atom. Number 4: total magnetic moment 0.00 μB/atom. Number 5: total magnetic moment 0.32 μB/atom. Number 6: total magnetic moment 0.00 μB/atom. Number 7: total magnetic moment 0.00 μB/atom. Number 8: total magnetic moment 0.00 μB/atom.